# 1
The following is a DFT calculation (GGA-PBE) of a relaxed structure of Zn2TcTe.

CIF file:
```
data_Zn2TcTe
_cell_length_a 3.8840
_cell_length_b 3.8840
_cell_length_c 8.9473
_cell_angle_alpha 90.00
_cell_angle_beta 90.00
_cell_angle_gamma 90.00
_symmetry_space_group_name_H-M 'I 4/m m m'
_symmetry_Int_Tables_number 139
_symmetry_space_group_name_Hall '-I 4 2'
loop_
_atom_site_label
_atom_site_type_symbol
_atom_site_fract_x
_atom_site_fract_y
_atom_site_fract_z
Zn1 Zn 0.0000 0.5000 0.2500
Tc1 Tc 0.0000 0.0000 0.0000
Te1 Te 0.0000 0.0000 0.5000
```

Output
The crystal system is tetragonal. As for the raw formation energy: 1.396 eV/f.u. The value obtained for the spin magnetization is 0.000 μB/atom. The value obtained for the density of states at the Fermi level is 3.31 states/eV/f.u.

=====

# 2
The following is a DFT calculation (GGA-PBE) of a relaxed structure of MoSCl2.

CIF file:
```
data_MoSCl2
_cell_length_a 3.0401
_cell_length_b 3.0401
_cell_length_c 31.4866
_cell_angle_alpha 90.00
_cell_angle_beta 90.00
_cell_angle_gamma 120.00
_symmetry_space_group_name_H-M 'R -3 m'
_symmetry_Int_Tables_number 166
_symmetry_space_group_name_Hall '-R 3 2"'
loop_
_atom_site_label
_atom_site_type_symbol
_atom_site_fract_x
_atom_site_fract_y
_atom_site_fract_z
Mo1 Mo 0.0000 0.0000 0.0000
S1 S 0.0000 0.0000 0.5000
Cl1 Cl 0.0000 0.0000 0.3888
```

Output
The crystal system is trigonal. As for the raw formation energy: 0.263 eV/f.u. The value obtained for the spin magnetization is 0.000 μB/atom. The value obtained for the energy above the most stable polymorph in this dataset is 408.0 meV/atom. The value obtained for the density of states at the Fermi level is 2.31 states/eV/f.u.

=====

# 3
The following is a DFT calculation (GGA-PBE) of a relaxed structure of CrCuSb2.

CIF file:
```
data_CrCuSb2
_cell_length_a 4.3264
_cell_length_b 4.9589
_cell_length_c 7.4034
_cell_angle_alpha 90.00
_cell_angle_beta 90.00
_cell_angle_gamma 90.00
_symmetry_space_group_name_H-M 'C m m m'
_symmetry_Int_Tables_number 65
_symmetry_space_group_name_Hall '-C 2 2'
loop_
_atom_site_label
_atom_site_type_symbol
_atom_site_fract_x
_atom_site_fract_y
_atom_site_fract_z
Cr1 Cr 0.0000 0.0000 0.0000
Cu1 Cu 0.0000 0.0000 0.5000
Sb1 Sb 0.0000 0.5000 0.2488
```

Output
The crystal system is orthorhombic. As for the raw formation energy: 1.384 eV/f.u. The value obtained for the spin magnetization is 0.866 μB/atom. The value obtained for the energy above the most stable polymorph in this dataset is 204.7 meV/atom. The value obtained for the density of states at the Fermi level is 2.03 states/eV/f.u.

=====

# 4
The following is a DFT calculation (GGA-PBE) of a relaxed structure of KRbHg.

CIF file:
```
data_KRbHg
_cell_length_a 14.0741
_cell_length_b 5.3344
_cell_length_c 10.0034
_cell_angle_alpha 90.00
_cell_angle_beta 123.69
_cell_angle_gamma 90.00
_symmetry_space_group_name_H-M 'C 1 m 1'
_symmetry_Int_Tables_number 8
loop_
_symmetry_equiv_pos_as_xyz
'x,y,z'
'x,-y,z'
'x+1/2,y+1/2,z'
'x+1/2,-y+1/2,z'
loop_
_atom_site_label
_atom_site_type_symbol
_atom_site_fract_x
_atom_site_fract_y
_atom_site_fract_z
K1 K 0.0000 0.0000 0.0000
K2 K 0.2346 0.0000 0.5483
Rb1 Rb 0.1414 0.5000 0.8271
Rb2 Rb 0.4051 0.0000 0.2802
Hg1 Hg 0.1938 0.5000 0.2578
Hg2 Hg 0.4282 0.5000 0.5752
```

Output
The crystal system is monoclinic. The calculation puts the formation energy from the elements at -159 meV/atom. The value obtained for the spin magnetization is 0.000 μB/atom. The value obtained for the energy above the most stable polymorph in this dataset is 10.7 meV/atom. The value obtained for the density of states at the Fermi level is 2.03 states/eV/f.u.

=====

# 5
The following is a DFT calculation (GGA-PBE) of a relaxed structure of BiTe2As.

CIF file:
```
data_BiTe2As
_cell_length_a 7.5633
_cell_length_b 7.5633
_cell_length_c 7.5633
_cell_angle_alpha 90.00
_cell_angle_beta 90.00
_cell_angle_gamma 90.00
_symmetry_space_group_name_H-M 'F m -3 m'
_symmetry_Int_Tables_number 225
_symmetry_space_group_name_Hall '-F 4 2 3'
loop_
_atom_site_label
_atom_site_type_symbol
_atom_site_fract_x
_atom_site_fract_y
_atom_site_fract_z
Bi1 Bi 0.0000 0.0000 0.0000
Te1 Te 0.2500 0.2500 0.2500
As1 As 0.0000 0.0000 0.5000
```

Output
The crystal system is cubic. As for the raw formation energy: 1.093 eV/f.u. The value obtained for the spin magnetization is 0.000 μB/atom. The value obtained for the energy above the most stable polymorph in this dataset is 197.8 meV/atom. The value obtained for the density of states at the Fermi level is 2.61 states/eV/f.u.

=====

# 6
The following is a DFT calculation (GGA-PBE) of a relaxed structure of Ba2FeW.

CIF file:
```
data_Ba2FeW
_cell_length_a 7.0863
_cell_length_b 4.0912
_cell_length_c 9.6350
_cell_angle_alpha 90.00
_cell_angle_beta 104.28
_cell_angle_gamma 90.00
_symmetry_space_group_name_H-M 'C 1 m 1'
_symmetry_Int_Tables_number 8
loop_
_symmetry_equiv_pos_as_xyz
'x,y,z'
'x,-y,z'
'x+1/2,y+1/2,z'
'x+1/2,-y+1/2,z'
loop_
_atom_site_label
_atom_site_type_symbol
_atom_site_fract_x
_atom_site_fract_y
_atom_site_fract_z
Ba1 Ba 0.0000 0.0000 0.0000
Ba2 Ba 0.1792 0.0000 0.5316
Fe1 Fe 0.2529 0.5000 0.2549
W1 W 0.4244 0.0000 0.2694
```

Output
The crystal system is monoclinic. The calculation puts the formation energy from the elements at 570 meV/atom. The value obtained for the spin magnetization is 0.002 μB/atom. The value obtained for the energy above the most stable polymorph in this dataset is 0.0 meV/atom. The value obtained for the density of states at the Fermi level is 4.64 states/eV/f.u.

=====

# 7
The following is a DFT calculation (GGA-PBE) of a relaxed structure of CaPmSe2.

CIF file:
```
data_CaPmSe2
_cell_length_a 4.1634
_cell_length_b 4.1634
_cell_length_c 20.9063
_cell_angle_alpha 90.00
_cell_angle_beta 90.00
_cell_angle_gamma 120.00
_symmetry_space_group_name_H-M 'R -3 m'
_symmetry_Int_Tables_number 166
_symmetry_space_group_name_Hall '-R 3 2"'
loop_
_atom_site_label
_atom_site_type_symbol
_atom_site_fract_x
_atom_site_fract_y
_atom_site_fract_z
Ca1 Ca 0.0000 0.0000 0.0000
Pm1 Pm 0.0000 0.0000 0.5000
Se1 Se 0.0000 0.0000 0.2515
```

Output
The crystal system is trigonal. As for the raw formation energy: -7.624 eV/f.u. The value obtained for the spin magnetization is 0.000 μB/atom. The value obtained for the energy above the most stable polymorph in this dataset is 1.5 meV/atom. The value obtained for the density of states at the Fermi level is 1.51 states/eV/f.u.

=====

# 8
The following is a DFT calculation (GGA-PBE) of a relaxed structure of Th3Ga8Rh3.

CIF file:
```
data_Th3Ga8Rh3
_cell_length_a 16.1262
_cell_length_b 4.4566
_cell_length_c 8.7002
_cell_angle_alpha 90.00
_cell_angle_beta 121.05
_cell_angle_gamma 90.00
_symmetry_space_group_name_H-M 'C 1 2/m 1'
_symmetry_Int_Tables_number 12
loop_
_symmetry_equiv_pos_as_xyz
'x,y,z'
'-x,-y,-z'
'-x,y,-z'
'x,-y,z'
'x+1/2,y+1/2,z'
'-x+1/2,-y+1/2,-z'
'-x+1/2,y+1/2,-z'
'x+1/2,-y+1/2,z'
loop_
_atom_site_label
_atom_site_type_symbol
_atom_site_fract_x
_atom_site_fract_y
_atom_site_fract_z
Th1 Th 0.0000 0.0000 0.0000
Th2 Th 0.2127 0.5000 0.6927
Ga1 Ga 0.0112 0.5000 0.6937
Ga2 Ga 0.1306 0.0000 0.4160
Ga3 Ga 0.1365 0.0000 0.8433
Ga4 Ga 0.1425 0.5000 0.2615
Rh1 Rh 0.0000 0.0000 0.5000
Rh2 Rh 0.1796 0.5000 0.0105
```

Output
The crystal system is monoclinic. The calculation puts the formation energy from the elements at -672 meV/atom. The value obtained for the spin magnetization is 0.000 μB/atom. The value obtained for the density of states at the Fermi level is 5.64 states/eV/f.u.

=====

# 9
The following is a DFT calculation (GGA-PBE) of a relaxed structure of Zr2NiSbH.

CIF file:
```
data_Zr2NiSbH
_cell_length_a 4.3668
_cell_length_b 4.3668
_cell_length_c 4.1090
_cell_angle_alpha 90.00
_cell_angle_beta 90.00
_cell_angle_gamma 90.00
_symmetry_space_group_name_H-M 'P 4/m m m'
_symmetry_Int_Tables_number 123
_symmetry_space_group_name_Hall '-P 4 2'
loop_
_atom_site_label
_atom_site_type_symbol
_atom_site_fract_x
_atom_site_fract_y
_atom_site_fract_z
Zr1 Zr 0.0000 0.5000 0.0000
Ni1 Ni 0.0000 0.0000 0.5000
Sb1 Sb 0.5000 0.5000 0.5000
H1 H 0.0000 0.0000 0.0000
```

Output
The crystal system is tetragonal. The value obtained for the spin magnetization is 0.000 μB/atom. The value obtained for the density of states at the Fermi level is 3.30 states/eV/f.u. The uncorrected energy comes out at -6.50 eV/atom.

=====

# 10
The following is a DFT calculation (GGA-PBE) of a relaxed structure of ReSbCl4.

CIF file:
```
data_ReSbCl4
_cell_length_a 8.1799
_cell_length_b 8.1799
_cell_length_c 8.1799
_cell_angle_alpha 90.00
_cell_angle_beta 90.00
_cell_angle_gamma 90.00
_symmetry_space_group_name_H-M 'F -4 3 m'
_symmetry_Int_Tables_number 216
_symmetry_space_group_name_Hall 'F -4 2 3'
loop_
_atom_site_label
_atom_site_type_symbol
_atom_site_fract_x
_atom_site_fract_y
_atom_site_fract_z
Re1 Re 0.0000 0.0000 0.0000
Sb1 Sb 0.2500 0.2500 0.7500
Cl1 Cl 0.1256 0.1256 0.3744
```

Output
The crystal system is cubic. As for the raw formation energy: 7.747 eV/f.u. The value obtained for the spin magnetization is 0.545 μB/atom. The value obtained for the density of states at the Fermi level is 7.24 states/eV/f.u.